No. 1
{
  "formula": "K2NaTlF6",
  "functional": "PBE-GGA",
  "state": "relaxed",
  "lattice_angstrom": [[6.184, 0.000, 0.000], [0.000, 6.304, 0.000], [-6.140, 0.000, 8.783]],
  "species": ["K", "K", "K", "K", "Na", "Na", "Tl", "Tl", "F", "F", "F", "F", "F", "F", "F", "F", "F", "F", "F", "F"],
  "frac_coords": [[0.239, 0.044, 0.249], [0.239, 0.456, 0.749], [0.761, 0.544, 0.251], [0.761, 0.956, 0.751], [0.000, 0.000, 0.500], [0.000, 0.500, 0.000], [0.500, 0.000, 0.000], [0.500, 0.500, 0.500], [0.174, 0.201, 0.959], [0.174, 0.299, 0.459], [0.257, 0.717, 0.955], [0.257, 0.783, 0.455], [0.339, 0.028, 0.757], [0.339, 0.472, 0.257], [0.661, 0.528, 0.743], [0.661, 0.972, 0.243], [0.743, 0.217, 0.545], [0.743, 0.283, 0.045], [0.826, 0.701, 0.541], [0.826, 0.799, 0.041]],
  "polymorph_energy_ev_per_atom": 0.0000,
  "spacegroup": "P2_1/c",
  "volume_a3_per_cell": 342.4,
  "n_ef_per_ev_atom": 0.000,
  "crystal_system": "monoclinic"
}

No. 2
{
  "formula": "KNaTlF6",
  "functional": "PBE-GGA",
  "state": "relaxed",
  "lattice_angstrom": [[-3.472, 4.150, 5.863], [3.472, -4.150, 5.863], [3.472, 4.150, -5.863]],
  "species": ["K", "K", "Na", "Na", "Tl", "Tl", "F", "F", "F", "F", "F", "F", "F", "F", "F", "F", "F", "F"],
  "frac_coords": [[0.352, 0.102, 0.250], [0.648, 0.898, 0.750], [0.000, 0.000, 0.500], [0.000, 0.500, 0.000], [0.000, 0.500, 0.500], [0.500, 0.500, 0.000], [0.084, 0.397, 0.236], [0.084, 0.848, 0.687], [0.125, 0.875, 0.250], [0.321, 0.571, 0.750], [0.339, 0.152, 0.736], [0.339, 0.603, 0.187], [0.661, 0.397, 0.813], [0.661, 0.848, 0.264], [0.679, 0.429, 0.250], [0.875, 0.125, 0.750], [0.916, 0.152, 0.313], [0.916, 0.603, 0.764]],
  "spacegroup": "Imma",
  "volume_a3_per_cell": 338.0,
  "n_ef_per_ev_atom": 0.504,
  "total_energy_ev_per_atom": -3.77,
  "crystal_system": "orthorhombic"
}